A plane-wave DFT calculation with PBE was carried out for a relaxed Be2AsOs crystal.

SG: Pmm2 (25)
Uncorrected energy, eV per atom: -5.710
Theoretical density, g cm⁻³: 10.01
Formation energy from the elements, eV/atom: 0.123

a = 2.984 Å, b = 3.806 Å, c = 4.134 Å
α = 90.00°, β = 90.00°, γ = 90.00°
Fractional positions:
Be: 0.000 0.000 0.000
Be: 0.000 0.500 0.337
As: 0.500 0.000 0.446
Os: 0.500 0.500 0.841